This record from the Alexandria database describes an optimized crystal structure of CsWF2. The functional is PBE+U.

- Crystal system: trigonal
- Excess energy over the best structure of this formula in the dataset: 0 meV per atom
- Magnetization: 4.18 μB/f.u.

Cell lengths 8.272, 8.272, 8.272 Å; angles 27.16, 27.16, 27.16 degrees
Site moments in Bohr magnetons follow the coordinates.
Positions (direct):
Cs: 0.500 0.500 0.500  0.00
W: 0.000 0.000 0.000  3.40
F: 0.911 0.911 0.911  0.04
F: 0.089 0.089 0.089  0.04